Entry 1:
Density functional theory data (meta-GGA SCAN) for a PBEsol-optimized structure of ZrZn2Ir.

Fermi-level density of states = 2.50 states/eV/f.u.
Formation enthalpy at 0 K = -0.521 eV/atom
Symmetry = Imm2, No. 44
Calculated volume = 15.57 Å³ per atom

Cell: 4.129 4.174 7.227 Å, 90.00 90.00 90.00°
Fractional positions:
Zr (0.000, 0.000, 0.000)
Zr (0.500, 0.500, 0.500)
Zn (0.000, 0.000, 0.501)
Zn (0.000, 0.500, 0.248)
Zn (0.500, 0.000, 0.748)
Zn (0.500, 0.500, 0.001)
Ir (0.000, 0.500, 0.751)
Ir (0.500, 0.000, 0.251)



Entry 2:
Density functional theory data (meta-GGA SCAN) for a PBEsol-optimized structure of La2CdH2.

Fermi-level density of states = 2.46 states/eV/f.u.
Total energy = -25.33 eV/atom
Symmetry = I4/mmm, No. 139
Calculated volume = 20.19 Å³ per atom

Cell: 3.994 3.994 12.652 Å, 90.00 90.00 90.00°
Fractional positions:
La (0.000, 0.000, 0.148)
La (0.000, 0.000, 0.852)
La (0.500, 0.500, 0.352)
La (0.500, 0.500, 0.648)
Cd (0.000, 0.000, 0.500)
Cd (0.500, 0.500, 0.000)
H (0.000, 0.500, 0.250)
H (0.000, 0.500, 0.750)
H (0.500, 0.000, 0.250)
H (0.500, 0.000, 0.750)



Entry 3:
Density functional theory data (meta-GGA SCAN) for a PBEsol-optimized structure of As2WIBr.

Fermi-level density of states = 2.10 states/eV/f.u.
Symmetry = P4/mmm, No. 123
Calculated volume = 29.62 Å³ per atom
E_form (uncorrected) = 10.59 eV per formula unit

Cell: 5.317 5.317 5.238 Å, 90.00 90.00 90.00°
Fractional positions:
As (0.000, 0.500, 0.000)
As (0.500, 0.000, 0.000)
W (0.000, 0.000, 0.500)
I (0.500, 0.500, 0.000)
Br (0.500, 0.500, 0.500)



Entry 4:
Density functional theory data (meta-GGA SCAN) for a PBEsol-optimized structure of K4PPb.

Fermi-level density of states = 5.98 states/eV/f.u.
Formation enthalpy at 0 K = 0.372 eV/atom
Symmetry = F-43m, No. 216
Calculated volume = 34.55 Å³ per atom

Cell: 6.643 6.643 6.643 Å, 60.00 60.00 60.00°
Fractional positions:
K (0.377, 0.377, 0.377)
K (0.377, 0.377, 0.870)
K (0.377, 0.870, 0.377)
K (0.870, 0.377, 0.377)
P (0.750, 0.750, 0.750)
Pb (0.000, 0.000, 0.000)



Number 4 is which compound? K4PPb